Below is Na3AgS after structural relaxation, with properties calculated at the PBEsol level.

Cell lengths 5.232, 5.232, 5.232 Å; angles 90.00, 90.00, 90.00 degrees
Space group Pm-3m (No. 221)
Unique sites:
Na 0.000 0.000 0.500
Ag 0.500 0.500 0.500
S 0.000 0.000 0.000

Summary:
The value obtained for the volume is 143.2 Å³ per cell. As for the raw formation energy: -406 meV per atom. As for the total DFT energy (no corrections): -13.9 eV per cell.